[1]
DFT (PBE-GGA) results for crystalline ReTcN3 at its relaxed geometry.

Total DFT energy (no corrections)   -7.94 eV per atom

Unit cell a=3.860 b=3.860 c=3.860 alpha=90.00 beta=90.00 gamma=90.00
Space group Pm-3m (No. 221)
Unique sites:
Re 0.000 0.000 0.000 x1
Tc 0.500 0.500 0.500 x1
N 0.000 0.500 0.500 x3



[2]
DFT (PBE-GGA) results for crystalline Y2TlP at its relaxed geometry.

Energy above the most stable polymorph in this dataset   729 meV per atom
ΔE_f   -0.268 eV per atom

Unit cell a=3.9254 b=3.9254 c=25.6480 alpha=90.00 beta=90.00 gamma=120.00
Space group R3m (No. 160, hexagonal axes)
Unique sites:
Y 0.0000 0.0000 0.0000 x3
Y 0.0000 0.0000 0.2234 x3
Tl 0.0000 0.0000 0.7646 x3
P 0.0000 0.0000 0.4943 x3